[1]
Here is a geometry-optimized Rb3LiZr structure from the Alexandria database. Energies are from GGA-PBE.

- space-group type = No. 221
- formation enthalpy at 0 K (eV per formula unit) = 5.4
- E above lowest polymorph (eV/atom) = 0.0000
- uncorrected energy (eV/cell) = -7.98

```
data_Rb3LiZr
_chemical_formula_sum 'Rb3 Li1 Zr1'
_symmetry_space_group_name_H-M 'P 1'
_symmetry_Int_Tables_number 1
_symmetry_space_group_name_Hall 'P 1'
_cell_length_a 7.123
_cell_length_b 7.123
_cell_length_c 7.123
_cell_angle_alpha 90.00
_cell_angle_beta 90.00
_cell_angle_gamma 90.00
loop_
_atom_site_label
_atom_site_fract_x
_atom_site_fract_y
_atom_site_fract_z
_atom_site_occupancy
Rb1 0.000 0.000 0.500 1
Rb2 0.000 0.500 0.000 1
Rb3 0.500 0.000 0.000 1
Li1 0.500 0.500 0.500 1
Zr1 0.000 0.000 0.000 1
```

***

[2]
Here is a geometry-optimized SrSi3Ir5 structure from the Alexandria database. Energies are from GGA-PBE.

- space-group type = No. 63
- formation energy (no corrections) (meV per atom) = -592
- uncorrected energy (eV/cell) = -135.16

```
data_SrSi3Ir5
_chemical_formula_sum 'Sr2 Si6 Ir10'
_symmetry_space_group_name_H-M 'P 1'
_symmetry_Int_Tables_number 1
_symmetry_space_group_name_Hall 'P 1'
_cell_length_a 6.583
_cell_length_b 6.583
_cell_length_c 12.333
_cell_angle_alpha 90.00
_cell_angle_beta 90.00
_cell_angle_gamma 145.01
loop_
_atom_site_label
_atom_site_fract_x
_atom_site_fract_y
_atom_site_fract_z
_atom_site_occupancy
Sr1 0.159 0.841 0.750 1
Sr2 0.841 0.159 0.250 1
Si1 0.123 0.877 0.250 1
Si2 0.385 0.615 0.041 1
Si3 0.385 0.615 0.459 1
Si4 0.615 0.385 0.541 1
Si5 0.615 0.385 0.959 1
Si6 0.877 0.123 0.750 1
Ir1 0.000 0.000 0.000 1
Ir2 0.000 0.000 0.500 1
Ir3 0.203 0.797 0.069 1
Ir4 0.203 0.797 0.431 1
Ir5 0.445 0.555 0.646 1
Ir6 0.445 0.555 0.854 1
Ir7 0.555 0.445 0.146 1
Ir8 0.555 0.445 0.354 1
Ir9 0.797 0.203 0.569 1
Ir10 0.797 0.203 0.931 1
```

***

[3]
Here is a geometry-optimized NdThTl2Se4 structure from the Alexandria database. Energies are from GGA-PBE.

- space-group type = No. 10
- formation energy (no corrections) (meV per atom) = -1263
- uncorrected energy (eV/cell) = -40.96

```
data_NdThTl2Se4
_chemical_formula_sum 'Nd1 Th1 Tl2 Se4'
_symmetry_space_group_name_H-M 'P 1'
_symmetry_Int_Tables_number 1
_symmetry_space_group_name_Hall 'P 1'
_cell_length_a 7.377
_cell_length_b 4.262
_cell_length_c 8.270
_cell_angle_alpha 90.00
_cell_angle_beta 107.15
_cell_angle_gamma 90.00
loop_
_atom_site_label
_atom_site_fract_x
_atom_site_fract_y
_atom_site_fract_z
_atom_site_occupancy
Nd1 0.000 0.000 0.000 1
Th1 0.500 0.500 0.000 1
Tl1 0.000 0.500 0.500 1
Tl2 0.500 0.000 0.500 1
Se1 0.245 0.500 0.214 1
Se2 0.268 0.000 0.786 1
Se3 0.732 0.000 0.214 1
Se4 0.755 0.500 0.786 1
```

***

[4]
Here is a geometry-optimized Ga2Ni4H structure from the Alexandria database. Energies are from GGA-PBE.

- space-group type = No. 139
- uncorrected energy (eV/cell) = -34.02

```
data_Ga2Ni4H
_chemical_formula_sum 'Ga2 Ni4 H1'
_symmetry_space_group_name_H-M 'P 1'
_symmetry_Int_Tables_number 1
_symmetry_space_group_name_Hall 'P 1'
_cell_length_a 6.615
_cell_length_b 6.615
_cell_length_c 6.615
_cell_angle_alpha 148.85
_cell_angle_beta 148.85
_cell_angle_gamma 44.64
loop_
_atom_site_label
_atom_site_fract_x
_atom_site_fract_y
_atom_site_fract_z
_atom_site_occupancy
Ga1 0.144 0.144 0.000 1
Ga2 0.856 0.856 0.000 1
Ni1 0.000 0.500 0.500 1
Ni2 0.338 0.338 0.000 1
Ni3 0.500 0.000 0.500 1
Ni4 0.662 0.662 0.000 1
H1 0.500 0.500 0.000 1
```

***

[5]
Here is a geometry-optimized NdGa4Pt2 structure from the Alexandria database. Energies are from GGA-PBE.

- space-group type = No. 62
- formation enthalpy at 0 K (eV per formula unit) = -5.8
- E above lowest polymorph (eV/atom) = 0.0000
- uncorrected energy (eV/cell) = -138.87

```
data_NdGa4Pt2
_chemical_formula_sum 'Nd4 Ga16 Pt8'
_symmetry_space_group_name_H-M 'P 1'
_symmetry_Int_Tables_number 1
_symmetry_space_group_name_Hall 'P 1'
_cell_length_a 17.598
_cell_length_b 4.358
_cell_length_c 6.669
_cell_angle_alpha 90.00
_cell_angle_beta 90.00
_cell_angle_gamma 90.00
loop_
_atom_site_label
_atom_site_fract_x
_atom_site_fract_y
_atom_site_fract_z
_atom_site_occupancy
Nd1 0.140 0.250 0.010 1
Nd2 0.360 0.750 0.510 1
Nd3 0.640 0.250 0.490 1
Nd4 0.860 0.750 0.990 1
Ga1 0.037 0.750 0.842 1
Ga2 0.071 0.250 0.488 1
Ga3 0.183 0.750 0.319 1
Ga4 0.190 0.750 0.724 1
Ga5 0.310 0.250 0.224 1
Ga6 0.317 0.250 0.819 1
Ga7 0.429 0.750 0.988 1
Ga8 0.463 0.250 0.342 1
Ga9 0.537 0.750 0.658 1
Ga10 0.571 0.250 0.012 1
Ga11 0.683 0.750 0.181 1
Ga12 0.690 0.750 0.776 1
Ga13 0.810 0.250 0.276 1
Ga14 0.817 0.250 0.681 1
Ga15 0.929 0.750 0.512 1
Ga16 0.963 0.250 0.158 1
Pt1 0.036 0.750 0.253 1
Pt2 0.217 0.250 0.525 1
Pt3 0.283 0.750 0.025 1
Pt4 0.464 0.250 0.753 1
Pt5 0.536 0.750 0.247 1
Pt6 0.717 0.250 0.975 1
Pt7 0.783 0.750 0.475 1
Pt8 0.964 0.250 0.747 1
```

***

[6]
Here is a geometry-optimized MgV2AsC structure from the Alexandria database. Energies are from GGA-PBE.

- space-group type = No. 123
- formation enthalpy at 0 K (eV per formula unit) = -0.2
- uncorrected energy (eV/cell) = -33.86

```
data_MgV2AsC
_chemical_formula_sum 'Mg1 V2 As1 C1'
_symmetry_space_group_name_H-M 'P 1'
_symmetry_Int_Tables_number 1
_symmetry_space_group_name_Hall 'P 1'
_cell_length_a 4.086
_cell_length_b 4.086
_cell_length_c 4.179
_cell_angle_alpha 90.00
_cell_angle_beta 90.00
_cell_angle_gamma 90.00
loop_
_atom_site_label
_atom_site_fract_x
_atom_site_fract_y
_atom_site_fract_z
_atom_site_occupancy
Mg1 0.000 0.000 0.000 1
V1 0.000 0.500 0.500 1
V2 0.500 0.000 0.500 1
As1 0.500 0.500 0.000 1
C1 0.000 0.000 0.500 1
```

***

[7]
Here is a geometry-optimized NaDyAlIn structure from the Alexandria database. Energies are from GGA-PBE.

- space-group type = No. 216
- formation enthalpy at 0 K (eV per formula unit) = -0.6
- uncorrected energy (eV/cell) = -12.99

```
data_NaDyAlIn
_chemical_formula_sum 'Na1 Dy1 Al1 In1'
_symmetry_space_group_name_H-M 'P 1'
_symmetry_Int_Tables_number 1
_symmetry_space_group_name_Hall 'P 1'
_cell_length_a 5.178
_cell_length_b 5.178
_cell_length_c 5.178
_cell_angle_alpha 60.00
_cell_angle_beta 60.00
_cell_angle_gamma 60.00
loop_
_atom_site_label
_atom_site_fract_x
_atom_site_fract_y
_atom_site_fract_z
_atom_site_occupancy
Na1 0.000 0.000 0.000 1
Dy1 0.500 0.500 0.500 1
Al1 0.750 0.750 0.750 1
In1 0.250 0.250 0.250 1
```

***

[8]
Here is a geometry-optimized Mg2Ti5Pd12 structure from the Alexandria database. Energies are from GGA-PBE.

- space-group type = No. 12
- formation enthalpy at 0 K (eV per formula unit) = -6.8
- uncorrected energy (eV/cell) = -111.73

```
data_Mg2Ti5Pd12
_chemical_formula_sum 'Mg2 Ti5 Pd12'
_symmetry_space_group_name_H-M 'P 1'
_symmetry_Int_Tables_number 1
_symmetry_space_group_name_Hall 'P 1'
_cell_length_a 7.959
_cell_length_b 7.959
_cell_length_c 8.656
_cell_angle_alpha 107.55
_cell_angle_beta 107.55
_cell_angle_gamma 39.79
loop_
_atom_site_label
_atom_site_fract_x
_atom_site_fract_y
_atom_site_fract_z
_atom_site_occupancy
Mg1 0.250 0.750 0.000 1
Mg2 0.750 0.250 0.000 1
Ti1 0.000 0.000 0.500 1
Ti2 0.325 0.325 0.662 1
Ti3 0.353 0.353 0.154 1
Ti4 0.647 0.647 0.846 1
Ti5 0.675 0.675 0.338 1
Pd1 0.052 0.563 0.899 1
Pd2 0.085 0.587 0.405 1
Pd3 0.097 0.097 0.289 1
Pd4 0.413 0.915 0.595 1
Pd5 0.437 0.948 0.101 1
Pd6 0.491 0.491 0.651 1
Pd7 0.509 0.509 0.349 1
Pd8 0.563 0.052 0.899 1
Pd9 0.587 0.085 0.405 1
Pd10 0.903 0.903 0.711 1
Pd11 0.915 0.413 0.595 1
Pd12 0.948 0.437 0.101 1
```

***

Repeat the sixth record exactly.
Here is a geometry-optimized MgV2AsC structure from the Alexandria database. Energies are from GGA-PBE.

- space-group type = No. 123
- formation enthalpy at 0 K (eV per formula unit) = -0.2
- uncorrected energy (eV/cell) = -33.86

```
data_MgV2AsC
_chemical_formula_sum 'Mg1 V2 As1 C1'
_symmetry_space_group_name_H-M 'P 1'
_symmetry_Int_Tables_number 1
_symmetry_space_group_name_Hall 'P 1'
_cell_length_a 4.086
_cell_length_b 4.086
_cell_length_c 4.179
_cell_angle_alpha 90.00
_cell_angle_beta 90.00
_cell_angle_gamma 90.00
loop_
_atom_site_label
_atom_site_fract_x
_atom_site_fract_y
_atom_site_fract_z
_atom_site_occupancy
Mg1 0.000 0.000 0.000 1
V1 0.000 0.500 0.500 1
V2 0.500 0.000 0.500 1
As1 0.500 0.500 0.000 1
C1 0.000 0.000 0.500 1
```

***

uncorrected energy of number 3 (NdThTl2Se4)?
-40.96 eV/cell